[1]
The following is a meta-GGA SCAN calculation of In2NiSe at its PBEsol-relaxed geometry, from Alexandria.

Cell and atoms, written as extended XYZ:
```
4
Lattice="-3.351 -1.056 3.305 -4.536 -0.909 -1.368 -1.759 -4.481 0.305" Properties=species:S:1:pos:R:3 pbc="T T T"
Se -7.234 -4.834 1.681
In -2.411 -1.611 0.560
Ni -4.823 -3.223 1.121
In 0.000 0.000 0.000
```

Results
uncorrected formation energy	0.389	eV per atom
D(E_F)	0.53	states/eV/f.u.
calculated volume	19.8	A^3/atom


[2]
The following is a meta-GGA SCAN calculation of TlInNi2Se at its PBEsol-relaxed geometry, from Alexandria.

Cell and atoms, written as extended XYZ:
```
5
Lattice="4.729 0.000 0.000 0.000 4.729 0.000 0.000 0.000 5.462" Properties=species:S:1:pos:R:3 pbc="T T T"
Tl 0.000 0.000 0.000
Ni 0.000 2.364 0.000
Ni 2.364 0.000 0.000
Se 2.364 2.364 2.731
In 0.000 0.000 2.731
```

Results
uncorrected formation energy	1.029	eV per atom
D(E_F)	3.85	states/eV/f.u.
calculated volume	24.4	A^3/atom


Number 1: total DFT energy (no corrections) -101.468 eV for the cell shown. Number 2: total DFT energy (no corrections) -153.025 eV for the cell shown.